Entry 1:
A relaxed Pr6InAg2 crystal, computed with GGA-PBE.

The space group is Immm (No. 71) and the conventional cell measures 10.310, 10.340 and 10.618 Å, with angles of 90.00, 90.00 and 90.00 degrees. The asymmetric unit holds Pr at (0.000, 0.202, 0.245), Pr at (0.223, 0.500, 0.178), Pr at (0.230, 0.316, 0.500), In at (0.000, 0.000, 0.000), In at (0.000, 0.000, 0.500), Ag at (0.000, 0.361, 0.000) and Ag at (0.000, 0.500, 0.370).

For the total energy, the calculation gives -155.238 eV/cell. The size of the total moment comes out at 0.00 Bohr magnetons per cell. The formation energy is -0.188 eV per atom.

=====

Entry 2:
A relaxed Pr3In3Ag8 crystal, computed with GGA-PBE.

The space group is Immm (No. 71) and the conventional cell measures 4.672, 10.080 and 13.887 Å, with angles of 90.00, 90.00 and 90.00 degrees. The asymmetric unit holds Pr at (0.000, 0.000, 0.000), Pr at (0.000, 0.000, 0.299), In at (0.000, 0.209, 0.500), In at (0.000, 0.500, 0.000), Ag at (0.000, 0.283, 0.137) and Ag at (0.000, 0.364, 0.334).

For the total energy, the calculation gives -97.021 eV/cell. The size of the total moment comes out at 0.00 Bohr magnetons per cell. The formation energy is -0.225 eV per atom.

=====

Entry 3:
A relaxed Pr5InAg crystal, computed with GGA-PBE.

The space group is C2/c (No. 15) and the conventional cell measures 9.094, 9.464 and 10.791 Å, with angles of 90.00, 90.61 and 90.00 degrees. The asymmetric unit holds Pr at (0.000, 0.140, 0.250), Pr at (0.170, 0.402, 0.000), Pr at (0.172, 0.217, 0.662), In at (0.000, 0.487, 0.250) and Ag at (0.000, 0.000, 0.000).

For the total energy, the calculation gives -119.954 eV/cell. The size of the total moment comes out at 0.00 Bohr magnetons per cell. The formation energy is -0.072 eV per atom.

=====

Entry 4:
A relaxed Pr6In3Ag crystal, computed with GGA-PBE.

The space group is P2_1/c (No. 14) and the conventional cell measures 5.448, 9.534 and 13.421 Å, with angles of 90.00, 113.91 and 90.00 degrees. The asymmetric unit holds Pr at (0.085, 0.169, 0.085), Pr at (0.246, 0.502, 0.245), Pr at (0.412, 0.168, 0.412), In at (0.240, 0.666, 0.740), In at (0.500, 0.000, 0.000) and Ag at (0.000, 0.000, 0.500).

For the total energy, the calculation gives -84.680 eV/cell. The size of the total moment comes out at 0.12 Bohr magnetons per cell. The formation energy is -0.260 eV per atom.

=====

Entry 5:
A relaxed PrInAg crystal, computed with GGA-PBE.

The space group is I4mm (No. 107) and the conventional cell measures 3.551, 3.551 and 12.028 Å, with angles of 90.00, 90.00 and 90.00 degrees. The asymmetric unit holds Pr at (0.000, 0.000, 0.000), In at (0.000, 0.000, 0.691) and Ag at (0.000, 0.000, 0.323).

For the total energy, the calculation gives -22.300 eV/cell. The size of the total moment comes out at 0.00 Bohr magnetons per cell. The formation energy is -0.260 eV per atom.

=====

Entry 6:
A relaxed PrIn3Ag crystal, computed with GGA-PBE.

The space group is I4mm (No. 107) and the conventional cell measures 4.563, 4.563 and 12.342 Å, with angles of 90.00, 90.00 and 90.00 degrees. The asymmetric unit holds Pr at (0.000, 0.000, 0.000), In at (0.000, 0.000, 0.598), In at (0.000, 0.500, 0.254) and Ag at (0.000, 0.000, 0.385).

For the total energy, the calculation gives -34.678 eV/cell. The size of the total moment comes out at 0.00 Bohr magnetons per cell. The value obtained for the energy above the most stable polymorph in this dataset is 0 meV per atom. The formation energy is -0.299 eV per atom.

=====

Entry 7:
A relaxed PrIn7Ag5 crystal, computed with GGA-PBE.

The space group is Imm2 (No. 44) and the conventional cell measures 5.913, 10.054 and 9.809 Å, with angles of 90.00, 90.00 and 90.00 degrees. The asymmetric unit holds Pr at (0.000, 0.000, 0.000), In at (0.000, 0.000, 0.347), In at (0.000, 0.000, 0.651), In at (0.000, 0.309, 0.512), In at (0.000, 0.343, 0.998), In at (0.000, 0.500, 0.276), Ag at (0.000, 0.500, 0.735) and Ag at (0.248, 0.250, 0.256).

For the total energy, the calculation gives -80.362 eV/cell. The size of the total moment comes out at 0.00 Bohr magnetons per cell. The formation energy is -0.152 eV per atom.

=====

Entry 8:
A relaxed Pr2InAg3 crystal, computed with GGA-PBE.

The space group is Imm2 (No. 44) and the conventional cell measures 3.792, 4.670 and 17.823 Å, with angles of 90.00, 90.00 and 90.00 degrees. The asymmetric unit holds Pr at (0.000, 0.000, 0.000), Pr at (0.000, 0.500, 0.253), In at (0.000, 0.000, 0.589), Ag at (0.000, 0.000, 0.432), Ag at (0.000, 0.500, 0.669) and Ag at (0.000, 0.500, 0.823).

For the total energy, the calculation gives -44.505 eV/cell. The size of the total moment comes out at 0.00 Bohr magnetons per cell. The value obtained for the energy above the most stable polymorph in this dataset is 83 meV per atom. The formation energy is -0.234 eV per atom.

=====

Entry 9:
A relaxed PrInAgRh crystal, computed with GGA-PBE.

The space group is F-43m (No. 216) and the conventional cell measures 7.004, 7.004 and 7.004 Å, with angles of 90.00, 90.00 and 90.00 degrees. The asymmetric unit holds Pr at (0.000, 0.000, 0.000), In at (0.000, 0.000, 0.500), Ag at (0.250, 0.250, 0.750) and Rh at (0.250, 0.250, 0.250).

For the total energy, the calculation gives -76.736 eV/cell. The size of the total moment comes out at 0.00 Bohr magnetons per cell. The formation energy is -0.366 eV per atom.

=====

Entry 10:
A relaxed Pr2InAgS5 crystal, computed with GGA-PBE.

The space group is Cmc2_1 (No. 36) and the conventional cell measures 4.045, 17.464 and 11.441 Å, with angles of 90.00, 90.00 and 90.00 degrees. The asymmetric unit holds Pr at (0.000, 0.118, 0.000), Pr at (0.000, 0.124, 0.379), In at (0.000, 0.412, 0.177), Ag at (0.000, 0.230, 0.709), S at (0.000, 0.033, 0.774), S at (0.000, 0.300, 0.033), S at (0.000, 0.305, 0.359), S at (0.000, 0.371, 0.692) and S at (0.000, 0.487, 0.983).

For the total energy, the calculation gives -188.916 eV/cell. The size of the total moment comes out at 0.00 Bohr magnetons per cell. As for the energy relative to the elements, uncorrected: -1271 meV per atom.

=====

Entry 11:
A relaxed PrSc2In2Ag2 crystal, computed with GGA-PBE.

The space group is R-3m (No. 166, hexagonal axes) and the conventional cell measures 4.7767, 4.7767 and 25.4998 Å, with angles of 90.00, 90.00 and 120.00 degrees. The asymmetric unit holds Pr at (0.0000, 0.0000, 0.0000), Sc at (0.0000, 0.0000, 0.1355), In at (0.0000, 0.0000, 0.2574) and Ag at (0.0000, 0.0000, 0.4391).

For the total energy, the calculation gives -92.194 eV/cell. The size of the total moment comes out at 0.33 Bohr magnetons per cell. The formation energy is -0.301 eV per atom.

=====

Entry 12:
A relaxed PrSm2In2Ag2 crystal, computed with GGA-PBE.

The space group is R-3m (No. 166, hexagonal axes) and the conventional cell measures 4.9183, 4.9183 and 27.3357 Å, with angles of 90.00, 90.00 and 120.00 degrees. The asymmetric unit holds Pr at (0.0000, 0.0000, 0.0000), Sm at (0.0000, 0.0000, 0.1265), In at (0.0000, 0.0000, 0.2599) and Ag at (0.0000, 0.0000, 0.4017).

For the total energy, the calculation gives -82.591 eV/cell. The size of the total moment comes out at 0.00 Bohr magnetons per cell. The formation energy is -0.305 eV per atom.

=====

Entry 13:
A relaxed PrSmInAg crystal, computed with GGA-PBE.

The space group is F-43m (No. 216) and the conventional cell measures 7.650, 7.650 and 7.650 Å, with angles of 90.00, 90.00 and 90.00 degrees. The asymmetric unit holds Pr at (0.000, 0.000, 0.000), Sm at (0.000, 0.000, 0.500), In at (0.250, 0.250, 0.250) and Ag at (0.250, 0.250, 0.750).

For the total energy, the calculation gives -66.226 eV/cell. The size of the total moment comes out at 1.68 Bohr magnetons per cell. The value obtained for the energy above the most stable polymorph in this dataset is 10 meV per atom. The formation energy is -0.367 eV per atom.

=====

Entry 14:
A relaxed PrSmInAg crystal, computed with GGA-PBE.

The space group is P4mm (No. 99) and the conventional cell measures 3.725, 3.725 and 7.973 Å, with angles of 90.00, 90.00 and 90.00 degrees. The asymmetric unit holds Pr at (0.000, 0.000, 0.000), Sm at (0.000, 0.000, 0.522), In at (0.500, 0.500, 0.267) and Ag at (0.500, 0.500, 0.746).

For the total energy, the calculation gives -16.597 eV/cell. The size of the total moment comes out at 0.00 Bohr magnetons per cell. The value obtained for the energy above the most stable polymorph in this dataset is 0 meV per atom. The formation energy is -0.377 eV per atom.

=====

Entry 15:
A relaxed PrInAgSn crystal, computed with GGA-PBE.

The space group is F-43m (No. 216) and the conventional cell measures 7.458, 7.458 and 7.458 Å, with angles of 90.00, 90.00 and 90.00 degrees. The asymmetric unit holds Pr at (0.000, 0.000, 0.000), In at (0.000, 0.000, 0.500), Ag at (0.250, 0.250, 0.250) and Sn at (0.250, 0.250, 0.750).

For the total energy, the calculation gives -61.563 eV/cell. The size of the total moment comes out at 0.00 Bohr magnetons per cell. The value obtained for the energy above the most stable polymorph in this dataset is 176 meV per atom. The formation energy is -0.255 eV per atom.

=====

Entry 16:
A relaxed PrInAgSn crystal, computed with GGA-PBE.

The space group is Pmmm (No. 47) and the conventional cell measures 4.559, 4.588 and 4.830 Å, with angles of 90.00, 90.00 and 90.00 degrees. The asymmetric unit holds Pr at (0.000, 0.000, 0.000), In at (0.000, 0.500, 0.500), Ag at (0.500, 0.000, 0.500) and Sn at (0.500, 0.500, 0.000).

For the total energy, the calculation gives -16.097 eV/cell. The size of the total moment comes out at 0.00 Bohr magnetons per cell. The value obtained for the energy above the most stable polymorph in this dataset is 0 meV per atom. The formation energy is -0.431 eV per atom.

=====

Entry 17:
A relaxed TbPrInAg crystal, computed with GGA-PBE.

The space group is P4mm (No. 99) and the conventional cell measures 3.694, 3.694 and 7.921 Å, with angles of 90.00, 90.00 and 90.00 degrees. The asymmetric unit holds Tb at (0.000, 0.000, 0.000), Pr at (0.000, 0.000, 0.476), In at (0.500, 0.500, 0.747) and Ag at (0.500, 0.500, 0.211).

For the total energy, the calculation gives -16.557 eV/cell. The size of the total moment comes out at 0.00 Bohr magnetons per cell. The value obtained for the energy above the most stable polymorph in this dataset is 0 meV per atom. The formation energy is -0.389 eV per atom.

=====

Entry 18:
A relaxed TbPrInAg crystal, computed with GGA-PBE.

The space group is F-43m (No. 216) and the conventional cell measures 7.595, 7.595 and 7.595 Å, with angles of 90.00, 90.00 and 90.00 degrees. The asymmetric unit holds Tb at (0.000, 0.000, 0.000), Pr at (0.000, 0.000, 0.500), In at (0.250, 0.250, 0.750) and Ag at (0.250, 0.250, 0.250).

For the total energy, the calculation gives -65.928 eV/cell. The size of the total moment comes out at 1.22 Bohr magnetons per cell. The value obtained for the energy above the most stable polymorph in this dataset is 19 meV per atom. The formation energy is -0.371 eV per atom.

=====

Entry 19:
A relaxed Pr2InAgTe5 crystal, computed with GGA-PBE.

The space group is Cmc2_1 (No. 36) and the conventional cell measures 4.403, 19.505 and 13.027 Å, with angles of 90.00, 90.00 and 90.00 degrees. The asymmetric unit holds Pr at (0.000, 0.121, 0.000), Pr at (0.000, 0.123, 0.377), In at (0.000, 0.407, 0.173), Ag at (0.000, 0.221, 0.704), Te at (0.000, 0.036, 0.780), Te at (0.000, 0.296, 0.359), Te at (0.000, 0.298, 0.027), Te at (0.000, 0.364, 0.690) and Te at (0.000, 0.489, 0.982).

For the total energy, the calculation gives -154.630 eV/cell. The size of the total moment comes out at 0.00 Bohr magnetons per cell. As for the energy relative to the elements, uncorrected: -867 meV per atom.

=====

Entry 20:
A relaxed Pr3In4AgTe8 crystal, computed with GGA-PBE.

The space group is R-3m (No. 166, hexagonal axes) and the conventional cell measures 8.9671, 8.9671 and 23.3388 Å, with angles of 90.00, 90.00 and 120.00 degrees. The asymmetric unit holds Pr at (0.0000, 0.5000, 0.0000), In at (0.0000, 0.0000, 0.5000), In at (0.0000, 0.5000, 0.5000), Ag at (0.0000, 0.0000, 0.0000), Te at (0.0000, 0.0000, 0.2537) and Te at (0.0007, 0.5003, 0.7468).

For the total energy, the calculation gives -195.360 eV/cell. The size of the total moment comes out at 0.00 Bohr magnetons per cell. As for the energy relative to the elements, uncorrected: -740 meV per atom.